Record 1
{"formula": "Sr2LaC", "functional": "PBE-GGA", "state": "optimized geometry", "ef_ev_per_atom": 0.41, "sg": "I-42d (122)", "cell": [[-4.913, -8.765, -4.026], [7.983, -1.160, -7.217], [2.730, -6.341, -4.079]], "species": ["Sr", "Sr", "Sr", "Sr", "La", "La", "C", "C"], "frac_coords": [[0.875, 0.717, 0.750], [0.283, 0.625, 0.250], [0.467, 0.125, 0.250], [0.375, 0.533, 0.750], [0.750, 0.250, 0.500], [0.000, 0.000, 0.000], [0.250, 0.750, 0.500], [0.500, 0.500, 0.000]]}

=====

Record 2
{"formula": "SrLa2C", "functional": "PBE-GGA", "state": "optimized geometry", "ef_ev_per_atom": 0.25, "sg": "I-42d (122)", "cell": [[7.816, 0.000, 0.000], [0.000, 7.816, 0.000], [3.908, 3.908, 5.406]], "species": ["La", "La", "La", "La", "C", "C", "Sr", "Sr"], "frac_coords": [[0.375, 0.564, 0.750], [0.314, 0.625, 0.250], [0.436, 0.125, 0.250], [0.875, 0.686, 0.750], [0.500, 0.500, 0.000], [0.250, 0.750, 0.500], [0.750, 0.250, 0.500], [0.000, 0.000, 0.000]]}

=====

Record 3
{"formula": "Sr2La4C", "functional": "PBE-GGA", "state": "optimized geometry", "ef_ev_per_atom": 0.12, "sg": "I4/mmm (139)", "cell": [[5.347, 0.000, 0.000], [0.000, 5.347, 0.000], [2.674, 2.674, 9.763]], "species": ["Sr", "Sr", "La", "La", "La", "La", "C"], "frac_coords": [[0.326, 0.326, 0.348], [0.674, 0.674, 0.652], [0.123, 0.123, 0.753], [0.877, 0.877, 0.247], [0.500, 0.000, 0.000], [0.000, 0.500, 0.000], [0.000, 0.000, 0.000]]}

=====

Record 4
{"formula": "SrLaTa2C", "functional": "PBE-GGA", "state": "optimized geometry", "ef_ev_per_atom": 3.48, "sg": "P4/mmm (123)", "cell": [[-0.262, -2.536, 4.120], [2.347, -4.567, -2.662], [4.421, 1.551, 1.236]], "species": ["Ta", "Ta", "Sr", "C", "La"], "frac_coords": [[0.500, 0.000, 0.000], [0.000, 0.000, 0.500], [0.000, 0.000, 0.000], [0.500, 0.500, 0.500], [0.000, 0.500, 0.000]]}

=====

Record 5
{"formula": "SrLa2TeC", "functional": "PBE-GGA", "state": "optimized geometry", "formation_energy_uncorrected_mev_per_atom": 919.2, "sg": "P4/mmm (123)", "cell": [[5.963, 0.000, 0.000], [0.000, 4.360, 0.000], [0.000, 0.000, 5.963]], "species": ["La", "La", "C", "Sr", "Te"], "frac_coords": [[0.000, 0.000, 0.500], [0.500, 0.000, 0.000], [0.000, 0.500, 0.000], [0.000, 0.000, 0.000], [0.500, 0.500, 0.500]]}

=====

Record 6
{"formula": "Sr2LaZrC", "functional": "PBE-GGA", "state": "optimized geometry", "ef_ev_per_atom": 1.35, "sg": "P4/mmm (123)", "cell": [[6.652, 0.000, 0.000], [0.000, 4.237, 0.000], [0.000, 0.000, 6.652]], "species": ["Sr", "Sr", "Zr", "La", "C"], "frac_coords": [[0.500, 0.000, 0.000], [0.000, 0.000, 0.500], [0.500, 0.500, 0.500], [0.000, 0.000, 0.000], [0.000, 0.500, 0.000]]}

=====

no.,total magnetic moment (μB/f.u.),mass density (g cm⁻³)
1,0.00,3.9
2,0.00,3.8
3,0.01,4.4
4,0.00,7.3
5,0.00,5.4
6,1.74,3.7